Entry 1:
Computed, not measured: a geometry-optimized Ta2AgAs2 structure at the PBE level of DFT.

Output
Symmetry   P4/mbm
Crystal system   tetragonal
Energy of formation from the pure elements   -109 meV per atom
Calculated volume   18.016 Å³ per atom

Lattice parameters (Å, degrees): 7.336 7.336 3.348 90.00 90.00 90.00
Fractional coordinates of all 10 atoms:
Ta 0.139 0.361 0.000
Ta 0.361 0.861 0.000
Ta 0.639 0.139 0.000
Ta 0.861 0.639 0.000
Ag 0.000 0.000 0.000
Ag 0.500 0.500 0.000
As 0.150 0.650 0.500
As 0.350 0.150 0.500
As 0.650 0.850 0.500
As 0.850 0.350 0.500


Entry 2:
Computed, not measured: a geometry-optimized Ta2AgAs structure at the PBE level of DFT.

Output
Symmetry   P4/mmm
Crystal system   tetragonal
Energy of formation from the pure elements   268 meV per atom
Calculated volume   17.412 Å³ per atom

Lattice parameters (Å, degrees): 4.051 4.051 4.245 90.00 90.00 90.00
Fractional coordinates of all 4 atoms:
Ta 0.000 0.500 0.000
Ta 0.500 0.000 0.000
Ag 0.000 0.000 0.500
As 0.500 0.500 0.500


Entry 3:
Computed, not measured: a geometry-optimized Ta2AgAs structure at the PBE level of DFT.

Output
Symmetry   P2/m
Crystal system   monoclinic
Energy of formation from the pure elements   123 meV per atom
Calculated volume   17.469 Å³ per atom

Lattice parameters (Å, degrees): 2.897 4.223 5.864 90.00 103.10 90.00
Fractional coordinates of all 4 atoms:
Ta 0.092 0.000 0.258
Ta 0.908 0.000 0.742
Ag 0.500 0.500 0.000
As 0.500 0.500 0.500


Entry 4:
Computed, not measured: a geometry-optimized Ta2AgTeAs structure at the PBE level of DFT.

Output
Symmetry   P4/mmm
Crystal system   tetragonal
Formation energy (no corrections)   1639 meV per atom
Calculated volume   25.961 Å³ per atom

Lattice parameters (Å, degrees): 5.097 5.097 4.997 90.00 90.00 90.00
Fractional coordinates of all 5 atoms:
Ta 0.000 0.500 0.000
Ta 0.500 0.000 0.000
Ag 0.000 0.000 0.500
Te 0.000 0.000 0.000
As 0.500 0.500 0.500


Entry 5:
Computed, not measured: a geometry-optimized Ta2AgTeAs structure at the PBE level of DFT.

Output
Symmetry   P4/mmm
Crystal system   tetragonal
Formation energy (no corrections)   1902 meV per atom
Calculated volume   26.215 Å³ per atom

Lattice parameters (Å, degrees): 5.084 5.084 5.072 90.00 90.00 90.00
Fractional coordinates of all 5 atoms:
Ta 0.000 0.500 0.000
Ta 0.500 0.000 0.000
Ag 0.000 0.000 0.000
Te 0.000 0.000 0.500
As 0.500 0.500 0.500


Entry 6:
Computed, not measured: a geometry-optimized TaAgTeAs2 structure at the PBE level of DFT.

Output
Symmetry   P4/mmm
Crystal system   tetragonal
Formation energy (no corrections)   1348 meV per atom
Calculated volume   24.896 Å³ per atom

Lattice parameters (Å, degrees): 4.838 4.838 5.319 90.00 90.00 90.00
Fractional coordinates of all 5 atoms:
Ta 0.000 0.000 0.000
Ag 0.500 0.500 0.500
Te 0.500 0.500 0.000
As 0.000 0.500 0.500
As 0.500 0.000 0.500